(1)
Below is a relaxed Hf3TeH crystal, with properties calculated at the PBE level.

Cell lengths 4.4256, 4.4256, 4.4256 Å; angles 90.00, 90.00, 90.00 degrees
Atoms (fractional coordinates):
Hf: 0.0000 0.0000 0.5000
Hf: 0.0000 0.5000 0.0000
Hf: 0.5000 0.0000 0.0000
Te: 0.5000 0.5000 0.5000
H: 0.0000 0.0000 0.0000

SG: Pm-3m, No. 221
Energy above the lowest structure with this stoichiometry, kJ per mole of atoms: 0.00
Total magnetic moment, μB per formula unit: 0.00



(2)
Below is a relaxed Lu3Th crystal, with properties calculated at the PBE level.

Cell lengths 5.5608, 5.5608, 5.5608 Å; angles 60.00, 60.00, 60.00 degrees
Atoms (fractional coordinates):
Lu: 0.0000 0.0000 0.0000
Lu: 0.2500 0.2500 0.2500
Lu: 0.7500 0.7500 0.7500
Th: 0.5000 0.5000 0.5000

SG: Fm-3m, No. 225
ΔE_f, eV per atom: 0.1192
Energy above the lowest structure with this stoichiometry, kJ per mole of atoms: 8.29
Total magnetic moment, μB per formula unit: 0.00